Record 1
The following is a PBE-GGA calculation of a geometry-optimized As2H2Ru structure, from Alexandria.

Structure (POSCAR):
```
As2H2Ru
1.0
3.041 0.000 0.000
0.000 3.041 0.000
1.520 1.520 6.000
As H Ru
2 2 1
Direct
0.369 0.369 0.261
0.631 0.631 0.739
0.250 0.750 0.500
0.750 0.250 0.500
0.000 0.000 0.000
```

Results
The magnetic moment comes out at 0.0 μB/f.u. Its symmetry is I4/mmm (139).

***

Record 2
The following is a PBE-GGA calculation of a geometry-optimized AcPr2Ga2Pt7 structure, from Alexandria.

Structure (POSCAR):
```
AcPr2Ga2Pt7
1.0
-1.803 3.791 0.160
-2.857 -1.173 -2.848
-10.244 -3.561 9.464
Pt Pr Ac Ga
7 2 1 2
Direct
0.375 0.375 0.430
0.625 0.625 0.570
0.559 0.060 0.837
0.060 0.559 0.837
0.940 0.441 0.163
0.441 0.940 0.163
0.500 0.500 0.000
0.114 0.114 0.640
0.886 0.886 0.360
0.000 0.000 0.000
0.595 0.595 0.742
0.405 0.405 0.258
```

Results
The magnetic moment comes out at 0.0 μB/f.u. Its symmetry is C2/m (12). For the formation energy, the calculation gives -84.7 kJ/mol of atoms.

***

Number 1: total DFT energy (no corrections) -4.68 eV/atom. Number 2: total DFT energy (no corrections) -6.05 eV/atom.